## Zr6Ga2Fe (PBEsol)

Data for a relaxed Zr6Ga2Fe crystal.

Unit cell a=7.7373 b=7.7373 c=3.3032 alpha=90.00 beta=90.00 gamma=120.00
Space group P-62m (No. 189)
Asymmetric unit:
1 Zr 0.0000 0.4026 0.0000 (multiplicity 3)
2 Zr 0.0000 0.7508 0.5000 (multiplicity 3)
3 Ga 0.3333 0.6667 0.5000 (multiplicity 2)
4 Fe 0.0000 0.0000 0.0000 (multiplicity 1)

Output
ΔH_f (0 K) = -406 meV per atom
E_tot = -8.204 eV/atom

## GdFe5 (PBEsol)

Data for a relaxed GdFe5 crystal.

Unit cell a=4.9036 b=4.9036 c=3.8848 alpha=90.00 beta=90.00 gamma=120.00
Space group P6/mmm (No. 191)
Asymmetric unit:
1 Gd 0.0000 0.0000 0.0000 (multiplicity 1)
2 Fe 0.0000 0.5000 0.5000 (multiplicity 3)
3 Fe 0.3333 0.6667 0.0000 (multiplicity 2)

Output
ΔH_f (0 K) = -17 meV per atom
E_tot = -9.895 eV/atom

## GdFe2 (PBEsol)

Data for a relaxed GdFe2 crystal.

Unit cell a=7.126 b=7.126 c=7.126 alpha=90.00 beta=90.00 gamma=90.00
Space group Fd-3m (No. 227, origin choice 2)
Asymmetric unit:
1 Gd 0.125 0.125 0.125 (multiplicity 8)
2 Fe 0.000 0.000 0.500 (multiplicity 16)

Output
ΔH_f (0 K) = -77 meV per atom
E_tot = -10.869 eV/atom

## GdFe2Ge2 (PBEsol)

Data for a relaxed GdFe2Ge2 crystal.

Unit cell a=3.975 b=3.975 c=9.856 alpha=90.00 beta=90.00 gamma=90.00
Space group I4/mmm (No. 139)
Asymmetric unit:
1 Gd 0.000 0.000 0.000 (multiplicity 2)
2 Fe 0.000 0.500 0.250 (multiplicity 4)
3 Ge 0.000 0.000 0.368 (multiplicity 4)

Output
ΔH_f (0 K) = -521 meV per atom
E_tot = -8.972 eV/atom

Number 1: total magnetic moment 0.0 Bohr magnetons per cell. Number 2: total magnetic moment 2.0 Bohr magnetons per cell. Number 3: total magnetic moment 32.5 Bohr magnetons per cell. Number 4: total magnetic moment 15.3 Bohr magnetons per cell.